# 1
A relaxed structure of Zr3B, computed with GGA-PBE.

## Properties
Energy relative to the lowest polymorph listed for this composition: 0 meV/atom

```
data_Zr3B
_chemical_formula_sum 'Zr6 B2'
_symmetry_space_group_name_H-M 'P 1 21/m 1'
_symmetry_Int_Tables_number 11
_cell_length_a 6.852
_cell_length_b 3.440
_cell_length_c 6.899
_cell_angle_alpha 90.00
_cell_angle_beta 110.87
_cell_angle_gamma 90.00
loop_
_symmetry_equiv_pos_as_xyz
'x,y,z'
'-x,-y,-z'
'-x,y+1/2,-z'
'x,-y+1/2,z'
loop_
_atom_site_label
_atom_site_type_symbol
_atom_site_fract_x
_atom_site_fract_y
_atom_site_fract_z
Zr1 Zr 0.052 0.250 0.325
Zr2 Zr 0.323 0.750 0.051
Zr3 Zr 0.392 0.750 0.610
B1 B 0.245 0.250 0.756
```



# 2
A relaxed structure of BeCuSnPd, computed with GGA-PBE.

## Properties
Energy relative to the lowest polymorph listed for this composition: 0 meV/atom

```
data_BeCuSnPd
_chemical_formula_sum 'Be4 Cu4 Sn4 Pd4'
_symmetry_space_group_name_H-M 'F -4 3 m'
_symmetry_Int_Tables_number 216
_symmetry_space_group_name_Hall 'F -4 2 3'
_cell_length_a 6.170
_cell_length_b 6.170
_cell_length_c 6.170
_cell_angle_alpha 90.00
_cell_angle_beta 90.00
_cell_angle_gamma 90.00
loop_
_atom_site_label
_atom_site_type_symbol
_atom_site_fract_x
_atom_site_fract_y
_atom_site_fract_z
Be1 Be 0.000 0.000 0.000
Cu1 Cu 0.250 0.250 0.750
Sn1 Sn 0.000 0.000 0.500
Pd1 Pd 0.250 0.250 0.250
```



# 3
A relaxed structure of NaTe2OsAuS, computed with GGA-PBE.

## Properties
Uncorrected energy: -4.31 eV per atom

```
data_NaTe2OsAuS
_chemical_formula_sum 'Na4 Te8 Os4 Au4 S4'
_symmetry_space_group_name_H-M 'C m c m'
_symmetry_Int_Tables_number 63
_symmetry_space_group_name_Hall '-C 2c 2'
_cell_length_a 4.001
_cell_length_b 14.549
_cell_length_c 9.906
_cell_angle_alpha 90.00
_cell_angle_beta 90.00
_cell_angle_gamma 90.00
loop_
_atom_site_label
_atom_site_type_symbol
_atom_site_fract_x
_atom_site_fract_y
_atom_site_fract_z
Na1 Na 0.000 0.235 0.250
Te1 Te 0.000 0.376 0.007
Os1 Os 0.000 0.000 0.000
Au1 Au 0.000 0.419 0.750
S1 S 0.000 0.049 0.750
```



# 4
A relaxed structure of ZrAlTlTe3, computed with GGA-PBE.

## Properties
Uncorrected energy: -4.46 eV per atom

```
data_ZrAlTlTe3
_chemical_formula_sum 'Zr4 Al4 Tl4 Te12'
_symmetry_space_group_name_H-M 'C m c m'
_symmetry_Int_Tables_number 63
_symmetry_space_group_name_Hall '-C 2c 2'
_cell_length_a 3.984
_cell_length_b 16.333
_cell_length_c 10.784
_cell_angle_alpha 90.00
_cell_angle_beta 90.00
_cell_angle_gamma 90.00
loop_
_atom_site_label
_atom_site_type_symbol
_atom_site_fract_x
_atom_site_fract_y
_atom_site_fract_z
Zr1 Zr 0.000 0.000 0.000
Al1 Al 0.000 0.463 0.250
Tl1 Tl 0.000 0.242 0.750
Te1 Te 0.000 0.077 0.250
Te2 Te 0.000 0.367 0.048
```



# 5
A relaxed structure of MgZnCdTe3, computed with GGA-PBE.

## Properties
Energy relative to the lowest polymorph listed for this composition: 92 meV/atom

```
data_MgZnCdTe3
_chemical_formula_sum 'Mg4 Zn4 Cd4 Te12'
_symmetry_space_group_name_H-M 'C m c m'
_symmetry_Int_Tables_number 63
_symmetry_space_group_name_Hall '-C 2c 2'
_cell_length_a 4.003
_cell_length_b 14.126
_cell_length_c 11.878
_cell_angle_alpha 90.00
_cell_angle_beta 90.00
_cell_angle_gamma 90.00
loop_
_atom_site_label
_atom_site_type_symbol
_atom_site_fract_x
_atom_site_fract_y
_atom_site_fract_z
Mg1 Mg 0.000 0.214 0.250
Zn1 Zn 0.000 0.000 0.000
Cd1 Cd 0.000 0.491 0.750
Te1 Te 0.000 0.132 0.750
Te2 Te 0.000 0.367 0.565
```



# 6
A relaxed structure of UBeAl, computed with GGA-PBE.

## Properties
Energy relative to the lowest polymorph listed for this composition: 805 meV/atom

```
data_UBeAl
_chemical_formula_sum 'U4 Be4 Al4'
_symmetry_space_group_name_H-M 'F -4 3 m'
_symmetry_Int_Tables_number 216
_symmetry_space_group_name_Hall 'F -4 2 3'
_cell_length_a 6.476
_cell_length_b 6.476
_cell_length_c 6.476
_cell_angle_alpha 90.00
_cell_angle_beta 90.00
_cell_angle_gamma 90.00
loop_
_atom_site_label
_atom_site_type_symbol
_atom_site_fract_x
_atom_site_fract_y
_atom_site_fract_z
U1 U 0.000 0.000 0.000
Be1 Be 0.250 0.250 0.250
Al1 Al 0.250 0.250 0.750
```



# 7
A relaxed structure of ZrCoNi2, computed with GGA-PBE.

## Properties
E_form: -162 meV per atom

```
data_ZrCoNi2
_chemical_formula_sum 'Zr4 Co4 Ni8'
_symmetry_space_group_name_H-M 'F -4 3 m'
_symmetry_Int_Tables_number 216
_symmetry_space_group_name_Hall 'F -4 2 3'
_cell_length_a 5.958
_cell_length_b 5.958
_cell_length_c 5.958
_cell_angle_alpha 90.00
_cell_angle_beta 90.00
_cell_angle_gamma 90.00
loop_
_atom_site_label
_atom_site_type_symbol
_atom_site_fract_x
_atom_site_fract_y
_atom_site_fract_z
Zr1 Zr 0.000 0.000 0.000
Co1 Co 0.250 0.250 0.250
Ni1 Ni 0.000 0.000 0.500
Ni2 Ni 0.250 0.250 0.750
```



# 8
A relaxed structure of LaMg2PtAu, computed with GGA-PBE.

## Properties
Uncorrected energy: -4.26 eV per atom

```
data_LaMg2PtAu
_chemical_formula_sum 'La2 Mg4 Pt2 Au2'
_symmetry_space_group_name_H-M 'I 4 m m'
_symmetry_Int_Tables_number 107
_symmetry_space_group_name_Hall 'I 4 -2'
_cell_length_a 4.222
_cell_length_b 4.222
_cell_length_c 12.424
_cell_angle_alpha 90.00
_cell_angle_beta 90.00
_cell_angle_gamma 90.00
loop_
_atom_site_label
_atom_site_type_symbol
_atom_site_fract_x
_atom_site_fract_y
_atom_site_fract_z
La1 La 0.000 0.000 0.000
Mg1 Mg 0.000 0.500 0.238
Pt1 Pt 0.000 0.000 0.602
Au1 Au 0.000 0.000 0.380
```